Entry 1:
A relaxed structure of Cd2GaW, computed with PBE-GGA.

```
Cd2GaW
1.0
2.587 -0.844 3.833
-0.936 -3.739 2.691
2.969 -3.643 0.076
Cd Ga W
2 1 1
Cartesian
0.000 0.000 0.000
3.465 -6.169 4.950
2.310 -4.113 3.300
1.155 -2.056 1.650
```

Calculated values
Space group   F-43m
Total magnetic moment   0.3067 μB/atom
Final energy   -3.7223 eV per atom

Entry 2:
A relaxed structure of CdGaW2, computed with PBE-GGA.

```
CdGaW2
1.0
0.000 3.224 3.224
3.224 0.000 3.224
3.224 3.224 0.000
Cd Ga W
1 1 2
Cartesian
1.612 1.612 1.612
3.224 3.224 3.224
0.000 0.000 0.000
4.836 4.836 4.836
```

Calculated values
Space group   F-43m
Total magnetic moment   0.0004 μB/atom
Final energy   -6.8723 eV per atom

Entry 3:
A relaxed structure of Y2CdGa, computed with PBE-GGA.

```
Y2CdGa
1.0
3.141 -4.059 0.952
-2.040 -4.678 1.096
0.368 -3.885 -3.467
Cd Ga Y
1 1 2
Cartesian
0.367 -3.156 -0.355
0.734 -6.311 -0.710
0.000 0.000 0.000
1.101 -9.467 -1.065
```

Calculated values
Space group   F-43m
Total magnetic moment   0.0563 μB/atom
Final energy   -4.1610 eV per atom

Entry 4:
A relaxed structure of YCdGa2, computed with PBE-GGA.

```
YCdGa2
1.0
0.000 3.508 3.508
3.508 0.000 3.508
3.508 3.508 0.000
Cd Ga Y
1 2 1
Cartesian
5.262 5.262 5.262
1.754 1.754 1.754
3.508 3.508 3.508
0.000 0.000 0.000
```

Calculated values
Space group   F-43m
Total magnetic moment   0.0009 μB/atom
Final energy   -3.5599 eV per atom

Entry 5:
A relaxed structure of Y3ZnCd3Ga2, computed with PBE-GGA.

```
Y3ZnCd3Ga2
1.0
-1.758 6.594 -2.803
-4.487 -3.253 4.869
2.059 1.893 3.163
Cd Ga Y Zn
3 2 3 1
Cartesian
-0.290 5.897 -0.523
-0.527 1.779 2.096
-2.339 -1.496 5.236
-1.638 4.258 1.336
-2.548 0.975 3.893
-0.734 2.754 -1.171
-1.874 -1.359 2.034
-3.636 1.945 1.203
0.000 0.000 0.000
```

Calculated values
Space group   P-62m
Total magnetic moment   0.0011 μB/atom
Final energy   -3.7811 eV per atom

Entry 6:
A relaxed structure of ZnCdGa2, computed with PBE-GGA.

```
ZnCdGa2
1.0
-3.934 -2.342 1.345
-0.919 -0.654 4.636
-3.589 2.361 2.077
Cd Ga Zn
1 2 1
Cartesian
-4.221 -0.318 4.029
0.000 0.000 0.000
-6.331 -0.477 6.043
-2.110 -0.159 2.014
```

Calculated values
Space group   F-43m
Final energy   -1.9554 eV per atom

Entry 7:
A relaxed structure of Zr2CdGa, computed with PBE-GGA.

```
Zr2CdGa
1.0
-3.751 -2.802 1.565
-0.687 -0.730 4.833
-3.848 2.080 2.288
Cd Ga Zr
1 1 2
Cartesian
-2.071 -0.363 2.171
-4.143 -0.725 4.343
0.000 0.000 0.000
-6.214 -1.088 6.514
```

Calculated values
Space group   F-43m
Total magnetic moment   0.6254 μB/atom
Final energy   -5.0633 eV per atom

Entry 8:
A relaxed structure of ZrCdGa2, computed with PBE-GGA.

```
ZrCdGa2
1.0
0.511 0.314 4.796
-0.820 4.200 2.248
-3.894 0.513 2.817
Cd Ga Zr
1 2 1
Cartesian
-3.152 3.770 7.395
0.000 0.000 0.000
-1.051 1.257 2.465
-2.101 2.514 4.930
```

Calculated values
Space group   F-43m
Total magnetic moment   0.0328 μB/atom
Final energy   -3.7843 eV per atom

Entry 9:
A relaxed structure of ZrCdGa, computed with PBE-GGA.

```
ZrCdGa
1.0
-2.003 1.206 4.042
-4.300 1.820 0.023
-3.581 -2.491 1.666
Cd Ga Zr
1 1 1
Cartesian
-2.471 0.134 1.433
-7.413 0.402 4.299
0.000 0.000 0.000
```

Calculated values
Space group   F-43m
Total magnetic moment   0.0016 μB/atom
Final energy   -3.9439 eV per atom

Entry 10:
A relaxed structure of ZrCdGa2, computed with PBE-GGA.

```
ZrCdGa2
1.0
0.000 3.418 3.418
3.418 0.000 3.418
3.418 3.418 0.000
Cd Ga Zr
1 2 1
Cartesian
5.127 5.127 5.127
1.709 1.709 1.709
3.418 3.418 3.418
0.000 0.000 0.000
```

Calculated values
Space group   F-43m
Total magnetic moment   0.0294 μB/atom
Final energy   -3.7843 eV per atom

Entry 11:
A relaxed structure of Gd2Cd, computed with PBE-GGA.

```
Gd2Cd
1.0
3.335 -2.771 4.569
1.490 3.218 5.206
-2.751 -1.431 5.483
Cd Gd
2 4
Cartesian
0.000 0.000 0.000
0.518 -0.246 3.814
2.672 0.100 6.795
0.551 -2.224 6.933
-0.372 0.770 7.252
1.296 -0.615 9.536
```

Calculated values
Space group   Fd-3m
Total magnetic moment   0.0095 μB/atom
Energy of formation from the pure elements   0.259 eV/atom

Entry 12:
A relaxed structure of NdGdCd6Ge3, computed with PBE-GGA.

```
NdGdCd6Ge3
1.0
8.278 0.000 0.000
-4.139 7.169 0.000
0.000 0.000 4.276
Cd Gd Ge Nd
6 1 3 1
Cartesian
3.241 0.975 0.000
5.814 2.319 0.000
3.363 3.875 0.000
5.222 0.309 2.138
1.795 2.492 2.138
5.400 4.368 2.138
0.000 0.000 0.000
-0.812 2.295 2.138
2.557 5.319 2.138
-1.746 6.725 2.138
0.000 4.779 0.000
```

Calculated values
Space group   P-6
Total magnetic moment   0.0005 μB/atom
Final energy   -2.8707 eV per atom

Entry 13:
A relaxed structure of PrGdCd6Ge3, computed with PBE-GGA.

```
PrGdCd6Ge3
1.0
-5.681 -4.736 -3.751
0.810 -0.244 8.250
-2.875 3.152 0.376
Cd Gd Ge Pr
6 1 3 1
Cartesian
-2.504 -2.212 -0.606
-4.648 -4.173 -0.566
-3.401 -3.332 1.920
-5.117 -1.532 -1.903
-3.373 -0.356 1.580
-6.376 -3.101 1.634
0.000 0.000 0.000
-1.529 1.206 2.593
-4.702 -1.828 3.757
-2.143 0.125 6.962
-1.354 -1.742 4.250
```

Calculated values
Space group   P-6
Total magnetic moment   0.0004 μB/atom
Final energy   -2.8791 eV per atom

Entry 14:
A relaxed structure of GdHfCd, computed with PBE-GGA.

```
GdHfCd
1.0
0.000 3.501 3.501
3.501 0.000 3.501
3.501 3.501 0.000
Cd Gd Hf
1 1 1
Cartesian
1.750 1.750 1.750
5.251 5.251 5.251
0.000 0.000 0.000
```

Calculated values
Space group   F-43m
Total magnetic moment   0.3903 μB/atom
Energy of formation from the pure elements   0.763 eV/atom

Entry 15:
A relaxed structure of Gd2Cd3Hg3, computed with PBE-GGA.

```
Gd2Cd3Hg3
1.0
4.987 0.000 0.000
0.000 3.346 5.752
0.000 -3.346 5.752
Cd Gd Hg
3 2 3
Cartesian
2.494 0.000 1.811
0.000 1.762 6.694
0.000 -1.762 6.694
0.000 0.000 3.879
2.494 0.000 7.722
2.494 1.654 4.827
2.494 -1.654 4.827
0.000 0.000 9.560
```

Calculated values
Space group   Amm2
E above lowest polymorph   0.006 eV/atom
Total magnetic moment   0.0003 μB/atom
Energy of formation from the pure elements   -0.347 eV/atom

Entry 16:
A relaxed structure of Gd2CdHg5, computed with PBE-GGA.

```
Gd2CdHg5
1.0
5.012 0.000 0.000
0.000 3.394 5.711
0.000 -3.394 5.711
Cd Gd Hg
1 2 5
Cartesian
0.000 0.000 1.755
2.506 0.000 3.883
0.000 0.000 7.602
0.000 1.685 4.722
2.506 1.740 6.726
0.000 -1.685 4.722
2.506 0.000 9.554
2.506 -1.740 6.726
```

Calculated values
Space group   Amm2
Total magnetic moment   0.0005 μB/atom
Energy of formation from the pure elements   -0.367 eV/atom

Entry 17:
A relaxed structure of Gd2CdHg, computed with PBE-GGA.

```
Gd2CdHg
1.0
-3.235 -3.543 -2.224
3.607 -3.786 0.784
-1.519 -0.744 3.395
Cd Gd Hg
1 2 1
Cartesian
-0.760 -0.372 1.697
-1.618 -1.771 -1.112
1.804 -1.893 0.392
-0.573 -4.037 0.977
```

Calculated values
Space group   P4/mmm
Total magnetic moment   0.1297 μB/atom
Energy of formation from the pure elements   -0.403 eV/atom

Entry 18:
A relaxed structure of Gd2Cd5Hg, computed with PBE-GGA.

```
Gd2Cd5Hg
1.0
4.967 0.000 0.000
0.000 3.300 5.808
0.000 -3.300 5.808
Cd Gd Hg
5 2 1
Cartesian
2.483 1.712 4.890
0.000 1.678 6.709
2.483 -1.712 4.890
0.000 -1.678 6.709
0.000 0.000 9.736
0.000 0.000 3.820
2.483 0.000 7.754
2.483 0.000 1.954
```

Calculated values
Space group   Amm2
Total magnetic moment   0.0005 μB/atom
Energy of formation from the pure elements   -0.324 eV/atom

Entry 19:
A relaxed structure of Gd2Cd3Hg3, computed with PBE-GGA.

```
Gd2Cd3Hg3
1.0
6.574 0.000 0.000
0.000 4.975 0.000
-3.177 0.000 5.859
Cd Gd Hg
3 2 3
Cartesian
1.621 2.487 0.883
5.024 2.487 0.913
-1.638 0.000 4.981
3.315 0.000 2.017
0.126 2.487 3.866
0.025 0.000 1.956
3.423 2.487 3.875
1.690 0.000 4.944
```

Calculated values
Space group   Pm
E above lowest polymorph   0.000 eV/atom
Total magnetic moment   0.0005 μB/atom
Energy of formation from the pure elements   -0.353 eV/atom

Entry 20:
A relaxed structure of Gd2HoMg3CdHg2, computed with PBE-GGA.

```
Gd2HoMg3CdHg2
1.0
4.671 0.000 0.000
0.000 6.415 3.738
0.000 -6.415 3.738
Cd Gd Hg Ho Mg
1 2 2 1 3
Cartesian
0.000 0.000 7.449
0.000 2.726 1.596
0.000 -2.726 1.596
2.335 2.117 3.747
2.335 -2.117 3.747
0.000 0.000 4.298
2.335 0.000 1.806
2.335 1.554 6.568
2.335 -1.554 6.568
```

Calculated values
Space group   Amm2
Total magnetic moment   0.0004 μB/atom
Final energy   -2.5792 eV per atom